Material: TlAu2Se
Method: DFT, PBE-GGA
State: optimized geometry

Values from the calculation:
N(E_F)   0.4311 states/eV per atom
Raw formation energy   0.067 eV/atom
SG   C2/m, No. 12

Cell lengths 4.3583, 4.3583, 6.3447 Å; angles 106.47, 106.47, 54.32 degrees
Closest atoms and distances in Å follow each position.
Positions (direct):
1 Tl 0.0000 0.0000 0.0000  6 Au 2.98-2.99
2 Au 0.2426 0.2426 0.7168  3 Se 2.76-2.78, 3 Tl 2.98-2.99
3 Au 0.7574 0.7574 0.2832  3 Se 2.76-2.78, 3 Tl 2.98-2.99
4 Se 0.5000 0.5000 0.5000  6 Au 2.76-2.78